Material: Fe2NF2
Method: DFT, GGA+U
State: relaxed

The structure belongs to space group P4/mbm (No. 127); the cell edges are 6.4270, 6.4270 and 2.6070 Å and the angles 90.00°, 90.00° and 90.00°. The inequivalent atoms are Fe at (0.1925, 0.3075, 0.0000), N at (0.0000, 0.0000, 0.5000) and F at (0.1199, 0.6199, 0.5000).

The calculated total energy is -4.998 eV/atom. As for the total moment: 15.34 μB/cell. The value obtained for the distance to the lowest polymorph of the same formula is 2.7 kJ per mole of atoms.